# Tl3MoBr | the Alexandria database | SCAN | PBEsol geometry
# calculated density: 6.691 Mg/m³
# calculated total energy: -53.3311 eV per atom
data_Tl3MoBr
_cell_length_a 5.8068
_cell_length_b 5.8068
_cell_length_c 5.8068
_cell_angle_alpha 90.00
_cell_angle_beta 90.00
_cell_angle_gamma 90.00
_space_group_name_H-M_alt 'P 1'
_space_group_IT_number 1
_space_group_name_Hall 'P 1'
loop_
_atom_site_label
_atom_site_type_symbol
_atom_site_fract_x
_atom_site_fract_y
_atom_site_fract_z
Mo1 Mo 0.5000 0.5000 0.5000
Tl1 Tl 0.0000 0.5000 0.0000
Tl2 Tl 0.5000 0.0000 0.0000
Br1 Br 0.0000 0.0000 0.0000
Tl3 Tl 0.0000 0.0000 0.5000